Entry from Alexandria: crystalline Pr2Al3Ge at its relaxed geometry (PBE).

```
data_Pr2Al3Ge
_cell_length_a 4.304
_cell_length_b 4.361
_cell_length_c 7.553
_cell_angle_alpha 90.00
_cell_angle_beta 90.00
_cell_angle_gamma 90.00
_symmetry_space_group_name_H-M 'P m m 2'
_symmetry_Int_Tables_number 25
loop_
_symmetry_equiv_pos_as_xyz
'x,y,z'
'-x,-y,z'
'-x,y,z'
'x,-y,z'
loop_
_atom_site_label
_atom_site_type_symbol
_atom_site_fract_x
_atom_site_fract_y
_atom_site_fract_z
_atom_site_occupancy
Pr1 Pr 0.000 0.000 0.000 1
Pr2 Pr 0.000 0.500 0.490 1
Al1 Al 0.500 0.000 0.661 1
Al2 Al 0.500 0.500 0.161 1
Al3 Al 0.500 0.500 0.826 1
Ge1 Ge 0.500 0.000 0.330 1
```

Calculated values
Energy relative to the elements, eV per atom: -0.587
Crystal system: orthorhombic
Theoretical density, g/cm3: 5.100

Entry from Alexandria: crystalline Pr2AlGe6 at its relaxed geometry (PBE).

```
data_Pr2AlGe6
_cell_length_a 8.428
_cell_length_b 8.814
_cell_length_c 10.797
_cell_angle_alpha 90.00
_cell_angle_beta 101.74
_cell_angle_gamma 90.00
_symmetry_space_group_name_H-M 'C 1 2/m 1'
_symmetry_Int_Tables_number 12
loop_
_symmetry_equiv_pos_as_xyz
'x,y,z'
'-x,-y,-z'
'-x,y,-z'
'x,-y,z'
'x+1/2,y+1/2,z'
'-x+1/2,-y+1/2,-z'
'-x+1/2,y+1/2,-z'
'x+1/2,-y+1/2,z'
loop_
_atom_site_label
_atom_site_type_symbol
_atom_site_fract_x
_atom_site_fract_y
_atom_site_fract_z
_atom_site_occupancy
Pr1 Pr 0.087 0.247 0.337 1
Al1 Al 0.199 0.000 0.804 1
Ge1 Ge 0.010 0.500 0.885 1
Ge2 Ge 0.071 0.000 0.114 1
Ge3 Ge 0.137 0.500 0.584 1
Ge4 Ge 0.147 0.000 0.562 1
Ge5 Ge 0.219 0.286 0.885 1
```

Calculated values
Energy relative to the elements, eV per atom: -0.454
Crystal system: monoclinic
Theoretical density, g/cm3: 6.298

Entry from Alexandria: crystalline Pr6AlGe2 at its relaxed geometry (PBE).

```
data_Pr6AlGe2
_cell_length_a 9.959
_cell_length_b 10.291
_cell_length_c 10.545
_cell_angle_alpha 90.00
_cell_angle_beta 90.00
_cell_angle_gamma 90.00
_symmetry_space_group_name_H-M 'I m m m'
_symmetry_Int_Tables_number 71
_symmetry_space_group_name_Hall '-I 2 2'
loop_
_atom_site_label
_atom_site_type_symbol
_atom_site_fract_x
_atom_site_fract_y
_atom_site_fract_z
_atom_site_occupancy
Pr1 Pr 0.000 0.198 0.249 1
Pr2 Pr 0.208 0.500 0.327 1
Pr3 Pr 0.230 0.321 0.000 1
Al1 Al 0.000 0.000 0.000 1
Al2 Al 0.000 0.000 0.500 1
Ge1 Ge 0.000 0.359 0.500 1
Ge2 Ge 0.000 0.500 0.119 1
```

Calculated values
Energy relative to the elements, eV per atom: -0.472
Crystal system: orthorhombic
Theoretical density, g/cm3: 6.255

Entry from Alexandria: crystalline Pr3AlGe3 at its relaxed geometry (PBE).

```
data_Pr3AlGe3
_cell_length_a 4.129
_cell_length_b 4.481
_cell_length_c 18.843
_cell_angle_alpha 90.00
_cell_angle_beta 90.00
_cell_angle_gamma 90.00
_symmetry_space_group_name_H-M 'I m m 2'
_symmetry_Int_Tables_number 44
loop_
_symmetry_equiv_pos_as_xyz
'x,y,z'
'-x,-y,z'
'-x,y,z'
'x,-y,z'
'x+1/2,y+1/2,z+1/2'
'-x+1/2,-y+1/2,z+1/2'
'-x+1/2,y+1/2,z+1/2'
'x+1/2,-y+1/2,z+1/2'
loop_
_atom_site_label
_atom_site_type_symbol
_atom_site_fract_x
_atom_site_fract_y
_atom_site_fract_z
_atom_site_occupancy
Pr1 Pr 0.000 0.000 0.000 1
Pr2 Pr 0.000 0.000 0.367 1
Pr3 Pr 0.000 0.500 0.687 1
Al1 Al 0.000 0.500 0.117 1
Ge1 Ge 0.000 0.000 0.538 1
Ge2 Ge 0.000 0.000 0.836 1
Ge3 Ge 0.000 0.500 0.249 1
```

Calculated values
Energy relative to the elements, eV per atom: -0.748
Crystal system: orthorhombic
Theoretical density, g/cm3: 6.361

Entry from Alexandria: crystalline PrAlGe at its relaxed geometry (PBE).

```
data_PrAlGe
_cell_length_a 4.304
_cell_length_b 4.304
_cell_length_c 14.776
_cell_angle_alpha 90.00
_cell_angle_beta 90.00
_cell_angle_gamma 90.00
_symmetry_space_group_name_H-M 'I 41 m d'
_symmetry_Int_Tables_number 109
_symmetry_space_group_name_Hall 'I 4bw -2'
loop_
_atom_site_label
_atom_site_type_symbol
_atom_site_fract_x
_atom_site_fract_y
_atom_site_fract_z
_atom_site_occupancy
Pr1 Pr 0.000 0.000 0.000 1
Al1 Al 0.000 0.000 0.416 1
Ge1 Ge 0.000 0.000 0.583 1
```

Calculated values
Energy relative to the elements, eV per atom: -0.691
Crystal system: tetragonal
Theoretical density, g/cm3: 5.836

Entry from Alexandria: crystalline Pr2AlGe3 at its relaxed geometry (PBE).

```
data_Pr2AlGe3
_cell_length_a 4.191
_cell_length_b 4.305
_cell_length_c 7.744
_cell_angle_alpha 90.00
_cell_angle_beta 90.00
_cell_angle_gamma 90.00
_symmetry_space_group_name_H-M 'P m m 2'
_symmetry_Int_Tables_number 25
loop_
_symmetry_equiv_pos_as_xyz
'x,y,z'
'-x,-y,z'
'-x,y,z'
'x,-y,z'
loop_
_atom_site_label
_atom_site_type_symbol
_atom_site_fract_x
_atom_site_fract_y
_atom_site_fract_z
_atom_site_occupancy
Pr1 Pr 0.000 0.000 0.000 1
Pr2 Pr 0.000 0.500 0.490 1
Al1 Al 0.500 0.500 0.828 1
Ge1 Ge 0.500 0.000 0.329 1
Ge2 Ge 0.500 0.000 0.668 1
Ge3 Ge 0.500 0.500 0.151 1
```

Calculated values
Energy relative to the elements, eV per atom: -0.623
E above lowest polymorph, meV per atom: 0
Crystal system: orthorhombic
Theoretical density, g/cm3: 6.259

Entry from Alexandria: crystalline PrAl2Ge at its relaxed geometry (PBE).

```
data_PrAl2Ge
_cell_length_a 4.329
_cell_length_b 4.329
_cell_length_c 4.566
_cell_angle_alpha 90.00
_cell_angle_beta 90.00
_cell_angle_gamma 90.00
_symmetry_space_group_name_H-M 'P 4/m m m'
_symmetry_Int_Tables_number 123
_symmetry_space_group_name_Hall '-P 4 2'
loop_
_atom_site_label
_atom_site_type_symbol
_atom_site_fract_x
_atom_site_fract_y
_atom_site_fract_z
_atom_site_occupancy
Pr1 Pr 0.000 0.000 0.000 1
Al1 Al 0.000 0.500 0.500 1
Ge1 Ge 0.500 0.500 0.000 1
```

Calculated values
Energy relative to the elements, eV per atom: -0.377
E above lowest polymorph, meV per atom: 0
Crystal system: tetragonal
Theoretical density, g/cm3: 5.192

Entry from Alexandria: crystalline PrAlGe at its relaxed geometry (PBE).

```
data_PrAlGe
_cell_length_a 4.258
_cell_length_b 4.258
_cell_length_c 8.467
_cell_angle_alpha 90.00
_cell_angle_beta 90.00
_cell_angle_gamma 90.00
_symmetry_space_group_name_H-M 'I 4 m m'
_symmetry_Int_Tables_number 107
_symmetry_space_group_name_Hall 'I 4 -2'
loop_
_atom_site_label
_atom_site_type_symbol
_atom_site_fract_x
_atom_site_fract_y
_atom_site_fract_z
_atom_site_occupancy
Pr1 Pr 0.000 0.000 0.000 1
Al1 Al 0.000 0.000 0.356 1
Ge1 Ge 0.000 0.000 0.652 1
```

Calculated values
Energy relative to the elements, eV per atom: -0.174
Crystal system: tetragonal
Theoretical density, g/cm3: 5.204

Entry from Alexandria: crystalline PrAlGe2 at its relaxed geometry (PBE).

```
data_PrAlGe2
_cell_length_a 4.4608
_cell_length_b 4.4608
_cell_length_c 15.3077
_cell_angle_alpha 90.00
_cell_angle_beta 90.00
_cell_angle_gamma 120.00
_symmetry_space_group_name_H-M 'R -3 m'
_symmetry_Int_Tables_number 166
_symmetry_space_group_name_Hall '-R 3 2"'
loop_
_atom_site_label
_atom_site_type_symbol
_atom_site_fract_x
_atom_site_fract_y
_atom_site_fract_z
_atom_site_occupancy
Pr1 Pr 0.0000 0.0000 0.0000 1
Al1 Al 0.0000 0.0000 0.5000 1
Ge1 Ge 0.0000 0.0000 0.2160 1
```

Calculated values
Energy relative to the elements, eV per atom: -0.390
Crystal system: trigonal
Theoretical density, g/cm3: 5.914

Entry from Alexandria: crystalline Pr2AlGe at its relaxed geometry (PBE).

```
data_Pr2AlGe
_cell_length_a 3.912
_cell_length_b 3.912
_cell_length_c 6.764
_cell_angle_alpha 90.00
_cell_angle_beta 90.00
_cell_angle_gamma 90.00
_symmetry_space_group_name_H-M 'P 4/m m m'
_symmetry_Int_Tables_number 123
_symmetry_space_group_name_Hall '-P 4 2'
loop_
_atom_site_label
_atom_site_type_symbol
_atom_site_fract_x
_atom_site_fract_y
_atom_site_fract_z
_atom_site_occupancy
Pr1 Pr 0.000 0.000 0.238 1
Al1 Al 0.500 0.500 0.500 1
Ge1 Ge 0.500 0.500 0.000 1
```

Calculated values
Energy relative to the elements, eV per atom: -0.465
Crystal system: tetragonal
Theoretical density, g/cm3: 6.117

Entry from Alexandria: crystalline Pr2AlGePt6 at its relaxed geometry (PBE).

```
data_Pr2AlGePt6
_cell_length_a 11.999
_cell_length_b 5.518
_cell_length_c 8.460
_cell_angle_alpha 90.00
_cell_angle_beta 132.77
_cell_angle_gamma 90.00
_symmetry_space_group_name_H-M 'C 1 2/m 1'
_symmetry_Int_Tables_number 12
loop_
_symmetry_equiv_pos_as_xyz
'x,y,z'
'-x,-y,-z'
'-x,y,-z'
'x,-y,z'
'x+1/2,y+1/2,z'
'-x+1/2,-y+1/2,-z'
'-x+1/2,y+1/2,-z'
'x+1/2,-y+1/2,z'
loop_
_atom_site_label
_atom_site_type_symbol
_atom_site_fract_x
_atom_site_fract_y
_atom_site_fract_z
_atom_site_occupancy
Pr1 Pr 0.246 0.000 0.205 1
Al1 Al 0.000 0.500 0.000 1
Ge1 Ge 0.000 0.000 0.500 1
Pt1 Pt 0.002 0.249 0.754 1
Pt2 Pt 0.248 0.500 0.389 1
```

Calculated values
Energy relative to the elements, eV per atom: -0.875
Crystal system: monoclinic
Theoretical density, g/cm3: 12.536